This record from Alexandria describes a geometry-optimized Ac6Cu2Ru structure. The functional is GGA-PBE.

Results
Formation energy from the elements in eV/atom: -0.108
Density of states at the Fermi level in states/eV/f.u.: 9.79
Density in g/cm³: 8.3
Raw total energy in eV for the cell shown: -86.2

Cell: 7.196 7.928 12.886 Å, 90.00 120.41 90.00°
Atoms (fractional coordinates):
Ac (0.095, 0.047, 0.248)
Ac (0.095, 0.453, 0.748)
Ac (0.243, 0.685, 0.075)
Ac (0.243, 0.815, 0.575)
Ac (0.390, 0.188, 0.068)
Ac (0.390, 0.312, 0.568)
Ac (0.610, 0.688, 0.432)
Ac (0.610, 0.812, 0.932)
Ac (0.757, 0.185, 0.425)
Ac (0.757, 0.315, 0.925)
Ac (0.905, 0.547, 0.252)
Ac (0.905, 0.953, 0.752)
Cu (0.329, 0.109, 0.769)
Cu (0.329, 0.391, 0.269)
Cu (0.671, 0.609, 0.731)
Cu (0.671, 0.891, 0.231)
Ru (0.000, 0.000, 0.000)
Ru (0.000, 0.500, 0.500)